Below is a relaxed Sc2CrB2Ru5 crystal, with properties calculated at the PBE level.

**Energy relative to the elements**: -0.49 eV per atom
**Magnetization**: 0.0 μB per formula unit

Unit cell a=9.341 b=9.341 c=3.002 alpha=90.00 beta=90.00 gamma=90.00
Space group P4/mbm (No. 127)
One atom of each set of equivalent atoms:
1 Sc 0.175 0.325 0.000 [4 per cell]
2 Cr 0.000 0.000 0.000 [2 per cell]
3 B 0.123 0.623 0.000 [4 per cell]
4 Ru 0.000 0.500 0.500 [2 per cell]
5 Ru 0.070 0.789 0.500 [8 per cell]

---

Below is a relaxed Cr2TcBRu crystal, with properties calculated at the PBE level.

**Energy relative to the elements**: 0.20 eV per atom
**Magnetization**: 0.0 μB per formula unit

Unit cell a=3.923 b=3.923 c=3.965 alpha=90.00 beta=90.00 gamma=90.00
Space group P4/mmm (No. 123)
One atom of each set of equivalent atoms:
1 Cr 0.000 0.500 0.000 [2 per cell]
2 Tc 0.000 0.000 0.500 [1 per cell]
3 B 0.500 0.500 0.000 [1 per cell]
4 Ru 0.500 0.500 0.500 [1 per cell]

---

Below is a relaxed Ti8Cr3B8Ru18 crystal, with properties calculated at the PBE level.

**Energy relative to the elements**: -0.53 eV per atom
**Magnetization**: 1.5 μB per formula unit

Unit cell a=24.870 b=24.953 c=2.973 alpha=90.00 beta=90.00 gamma=90.00
Space group Cmmm (No. 65)
One atom of each set of equivalent atoms:
1 Ti 0.000 0.172 0.000 [4 per cell]
2 Ti 0.000 0.302 0.000 [4 per cell]
3 Ti 0.138 0.174 0.000 [8 per cell]
4 Ti 0.174 0.360 0.000 [8 per cell]
5 Ti 0.198 0.000 0.000 [4 per cell]
6 Ti 0.250 0.250 0.000 [4 per cell]
7 Cr 0.000 0.046 0.000 [4 per cell]
8 Cr 0.046 0.500 0.000 [4 per cell]
9 Cr 0.173 0.500 0.000 [4 per cell]
10 B 0.064 0.400 0.000 [8 per cell]
11 B 0.101 0.064 0.000 [8 per cell]
12 B 0.104 0.275 0.000 [8 per cell]
13 B 0.225 0.105 0.000 [8 per cell]
14 Ru 0.000 0.419 0.500 [4 per cell]
15 Ru 0.059 0.110 0.500 [8 per cell]
16 Ru 0.061 0.229 0.500 [8 per cell]
17 Ru 0.082 0.000 0.500 [4 per cell]
18 Ru 0.082 0.338 0.500 [8 per cell]
19 Ru 0.111 0.443 0.500 [8 per cell]
20 Ru 0.164 0.081 0.500 [8 per cell]
21 Ru 0.166 0.265 0.500 [8 per cell]
22 Ru 0.227 0.440 0.500 [8 per cell]
23 Ru 0.236 0.166 0.500 [8 per cell]

---

Below is a relaxed UCrB2Ru5 crystal, with properties calculated at the PBE level.

**Energy relative to the elements**: 0.12 eV per atom
**Magnetization**: 3.8 μB per formula unit

Unit cell a=4.123 b=4.123 c=8.487 alpha=90.00 beta=90.00 gamma=90.00
Space group P4/mmm (No. 123)
One atom of each set of equivalent atoms:
1 U 0.000 0.000 0.000 [1 per cell]
2 Cr 0.500 0.500 0.500 [1 per cell]
3 B 0.500 0.500 0.254 [2 per cell]
4 Ru 0.000 0.500 0.231 [4 per cell]
5 Ru 0.500 0.500 0.000 [1 per cell]

---

Below is a relaxed CrBRu2W crystal, with properties calculated at the PBE level.

**Energy relative to the elements**: 2.41 eV per atom
**Magnetization**: 3.8 μB per formula unit

Unit cell a=4.647 b=4.647 c=4.711 alpha=90.00 beta=90.00 gamma=90.00
Space group P4/mmm (No. 123)
One atom of each set of equivalent atoms:
1 Cr 0.000 0.000 0.000 [1 per cell]
2 B 0.500 0.500 0.000 [1 per cell]
3 Ru 0.000 0.500 0.500 [2 per cell]
4 W 0.000 0.000 0.500 [1 per cell]

---

Below is a relaxed ZrCrBRu2 crystal, with properties calculated at the PBE level.

**Energy relative to the elements**: -0.28 eV per atom
**Magnetization**: 2.4 μB per formula unit

Unit cell a=4.173 b=4.173 c=4.026 alpha=90.00 beta=90.00 gamma=90.00
Space group P4/mmm (No. 123)
One atom of each set of equivalent atoms:
1 Zr 0.000 0.000 0.000 [1 per cell]
2 Cr 0.500 0.500 0.000 [1 per cell]
3 B 0.500 0.500 0.500 [1 per cell]
4 Ru 0.000 0.500 0.500 [2 per cell]

---

Below is a relaxed CrBS3 crystal, with properties calculated at the PBE level.

**E above lowest polymorph**: 0.000 eV/atom
**ΔE_f (raw)**: 0.93 eV per atom
**Magnetization**: 0.3 μB per formula unit

Unit cell a=4.092 b=4.092 c=4.092 alpha=90.00 beta=90.00 gamma=90.00
Space group Pm-3m (No. 221)
One atom of each set of equivalent atoms:
1 Cr 0.000 0.000 0.000 [1 per cell]
2 B 0.500 0.500 0.500 [1 per cell]
3 S 0.000 0.500 0.500 [3 per cell]

---

Below is a relaxed Cr2BS crystal, with properties calculated at the PBE level.

**E above lowest polymorph**: 0.000 eV/atom
**ΔE_f (raw)**: 0.19 eV per atom
**Magnetization**: 1.2 μB per formula unit

Unit cell a=5.440 b=5.440 c=5.440 alpha=90.00 beta=90.00 gamma=90.00
Space group Fm-3m (No. 225)
One atom of each set of equivalent atoms:
1 Cr 0.250 0.250 0.250 [8 per cell]
2 B 0.000 0.000 0.000 [4 per cell]
3 S 0.000 0.000 0.500 [4 per cell]

---

Below is a relaxed CrBS3 crystal, with properties calculated at the PBE level.

**E above lowest polymorph**: 0.084 eV/atom
**ΔE_f (raw)**: 1.02 eV per atom
**Magnetization**: 0.0 μB per formula unit

Unit cell a=4.474 b=4.474 c=4.474 alpha=90.00 beta=90.00 gamma=90.00
Space group Pm-3m (No. 221)
One atom of each set of equivalent atoms:
1 Cr 0.000 0.000 0.000 [1 per cell]
2 B 0.500 0.500 0.500 [1 per cell]
3 S 0.000 0.000 0.500 [3 per cell]

---

Below is a relaxed Cr2BS crystal, with properties calculated at the PBE level.

**E above lowest polymorph**: 0.063 eV/atom
**ΔE_f (raw)**: 0.25 eV per atom
**Magnetization**: 4.1 μB per formula unit

Unit cell a=4.948 b=4.948 c=9.695 alpha=90.00 beta=90.00 gamma=90.00
Space group I-42d (No. 122)
One atom of each set of equivalent atoms:
1 Cr 0.205 0.250 0.125 [8 per cell]
2 B 0.000 0.000 0.000 [4 per cell]
3 S 0.000 0.000 0.500 [4 per cell]

---

Below is a relaxed CrBS crystal, with properties calculated at the PBE level.

**ΔE_f (raw)**: -0.23 eV per atom
**Magnetization**: 1.9 μB per formula unit

Unit cell a=3.164 b=15.882 c=3.119 alpha=90.00 beta=90.00 gamma=90.00
Space group Cmcm (No. 63)
One atom of each set of equivalent atoms:
1 Cr 0.000 0.071 0.250 [4 per cell]
2 B 0.000 0.474 0.250 [4 per cell]
3 S 0.000 0.354 0.250 [4 per cell]

---

Below is a relaxed Cr3BS crystal, with properties calculated at the PBE level.

**E above lowest polymorph**: 0.000 eV/atom
**ΔE_f (raw)**: 0.49 eV per atom
**Magnetization**: 6.9 μB per formula unit

Unit cell a=3.997 b=3.997 c=3.997 alpha=90.00 beta=90.00 gamma=90.00
Space group Pm-3m (No. 221)
One atom of each set of equivalent atoms:
1 Cr 0.000 0.000 0.500 [3 per cell]
2 B 0.000 0.000 0.000 [1 per cell]
3 S 0.500 0.500 0.500 [1 per cell]